Record 1
Ca2BeGa3Au4 | PBE-GGA | optimized geometry

Output
space group: P-4m2, No. 115
DFT formation energy: -488 meV per atom

abc: 4.3472 4.3472 10.6672
angles: 90.00 90.00 90.00
Closest atoms and distances in Å follow each position.
Sites, in units of the cell vectors:
Ca 0.0000 0.5000 0.2417  6 Ga 3.33-3.37, 8 Au 3.33-3.51, 2 Be 3.37
Ca 0.5000 0.0000 0.7583  6 Ga 3.33-3.37, 8 Au 3.33-3.51, 2 Be 3.37
Be 0.5000 0.5000 0.0000  4 Au 2.54
Ga 0.0000 0.0000 0.0000  4 Au 2.54
Ga 0.0000 0.5000 0.6393  5 Au 2.54-2.63
Ga 0.5000 0.0000 0.3607  5 Au 2.54-2.63
Au 0.0000 0.0000 0.5000  4 Ga 2.63
Au 0.0000 0.5000 0.8776  2 Be 2.54, 3 Ga 2.54
Au 0.5000 0.0000 0.1224  2 Be 2.54, 3 Ga 2.54
Au 0.5000 0.5000 0.5000  4 Ga 2.63

***

Record 2
InTe2Cl | PBE-GGA | optimized geometry

Output
space group: Fm-3m, No. 225
formation energy from raw total energies: 0.051 eV/atom
excess energy over the best structure of this formula in the dataset: 420 meV per atom

abc: 5.2627 5.2627 5.2627
angles: 60.00 60.00 60.00
Closest atoms and distances in Å follow each position.
Sites, in units of the cell vectors:
In 0.0000 0.0000 0.0000  8 Te 3.22
Te 0.2500 0.2500 0.2500  4 In 3.22, 4 Cl 3.22
Te 0.7500 0.7500 0.7500  4 In 3.22, 4 Cl 3.22
Cl 0.5000 0.5000 0.5000  8 Te 3.22

***

Record 3
Cd2CuRe | PBE-GGA | optimized geometry

Output
space group: P4/mmm, No. 123
DFT formation energy: 460 meV per atom
excess energy over the best structure of this formula in the dataset: 68 meV per atom

abc: 2.7741 2.7741 8.7052
angles: 90.00 90.00 90.00
Closest atoms and distances in Å follow each position.
Sites, in units of the cell vectors:
Cd 0.0000 0.0000 0.2364  4 Cd 2.77, 4 Cu 2.84, 4 Re 3.02
Cd 0.0000 0.0000 0.7636  4 Cd 2.77, 4 Cu 2.84, 4 Re 3.02
Cu 0.5000 0.5000 0.0000  4 Cu 2.77, 8 Cd 2.84
Re 0.5000 0.5000 0.5000  4 Re 2.77, 8 Cd 3.02